(1)
The following is a PBE calculation of an optimized crystal structure of LaCrOs2, from Alexandria via LeMat-Bulk.

The structure in CIF format:
```
data_LaCrOs2
_space_group_name_H-M_alt 'P 1'
_space_group_IT_number 1
_cell_length_a 4.6284
_cell_length_b 4.6284
_cell_length_c 4.6284
_cell_angle_alpha 60.00
_cell_angle_beta 60.00
_cell_angle_gamma 60.00
loop_
_space_group_symop_operation_xyz
'x,y,z'
loop_
_atom_site_label
_atom_site_type_symbol
_atom_site_fract_x
_atom_site_fract_y
_atom_site_fract_z
Os1 Os 0.0000 0.0000 0.0000
Cr1 Cr 0.5000 0.5000 0.5000
Os2 Os 0.2500 0.2500 0.2500
La1 La 0.7500 0.7500 0.7500
```

Calculated values
- excess energy over the best structure of this formula in the dataset (meV per atom) = 442.8
- space-group type = F-43m (216)
- DFT total energy (eV/atom) = -8.56

(2)
The following is a PBE calculation of an optimized crystal structure of La2CrOs, from Alexandria via LeMat-Bulk.

The structure in CIF format:
```
data_La2CrOs
_space_group_name_H-M_alt 'P 1'
_space_group_IT_number 1
_cell_length_a 4.9921
_cell_length_b 4.9921
_cell_length_c 4.9921
_cell_angle_alpha 60.00
_cell_angle_beta 60.00
_cell_angle_gamma 60.00
loop_
_space_group_symop_operation_xyz
'x,y,z'
loop_
_atom_site_label
_atom_site_type_symbol
_atom_site_fract_x
_atom_site_fract_y
_atom_site_fract_z
La1 La 0.0000 0.0000 0.0000
La2 La 0.7500 0.7500 0.7500
Cr1 Cr 0.5000 0.5000 0.5000
Os1 Os 0.2500 0.2500 0.2500
```

Calculated values
- excess energy over the best structure of this formula in the dataset (meV per atom) = 379.8
- space-group type = F-43m (216)
- DFT total energy (eV/atom) = -7.24

(3)
The following is a PBE calculation of an optimized crystal structure of LaCrOs2, from Alexandria via LeMat-Bulk.

The structure in CIF format:
```
data_LaCrOs2
_space_group_name_H-M_alt 'P 1'
_space_group_IT_number 1
_cell_length_a 7.2858
_cell_length_b 7.2858
_cell_length_c 5.9199
_cell_angle_alpha 52.02
_cell_angle_beta 52.02
_cell_angle_gamma 90.00
loop_
_space_group_symop_operation_xyz
'x,y,z'
loop_
_atom_site_label
_atom_site_type_symbol
_atom_site_fract_x
_atom_site_fract_y
_atom_site_fract_z
Os1 Os 0.3750 0.4441 0.7500
La1 La 0.0000 0.0000 0.0000
Cr1 Cr 0.5000 0.5000 0.0000
Cr2 Cr 0.2500 0.7500 0.5000
Os2 Os 0.8750 0.8059 0.7500
Os3 Os 0.5559 0.1250 0.2500
Os4 Os 0.1941 0.6250 0.2500
La2 La 0.7500 0.2500 0.5000
```

Calculated values
- excess energy over the best structure of this formula in the dataset (meV per atom) = 403.3
- space-group type = I-42d (122)
- DFT total energy (eV/atom) = -8.60

(4)
The following is a PBE calculation of an optimized crystal structure of LaCr3Os, from Alexandria via LeMat-Bulk.

The structure in CIF format:
```
data_LaCr3Os
_space_group_name_H-M_alt 'P 1'
_space_group_IT_number 1
_cell_length_a 4.3869
_cell_length_b 4.3869
_cell_length_c 4.3869
_cell_angle_alpha 90.00
_cell_angle_beta 90.00
_cell_angle_gamma 90.00
loop_
_space_group_symop_operation_xyz
'x,y,z'
loop_
_atom_site_label
_atom_site_type_symbol
_atom_site_fract_x
_atom_site_fract_y
_atom_site_fract_z
Cr1 Cr 0.0000 0.0000 0.5000
Cr2 Cr 0.0000 0.5000 0.0000
La1 La 0.0000 0.0000 0.0000
Os1 Os 0.5000 0.5000 0.5000
Cr3 Cr 0.5000 0.0000 0.0000
```

Calculated values
- excess energy over the best structure of this formula in the dataset (meV per atom) = 1540.6
- space-group type = Pm-3m (221)
- DFT total energy (eV/atom) = -6.70

(5)
The following is a PBE calculation of an optimized crystal structure of LaCr2Os, from Alexandria via LeMat-Bulk.

The structure in CIF format:
```
data_LaCr2Os
_space_group_name_H-M_alt 'P 1'
_space_group_IT_number 1
_cell_length_a 3.5020
_cell_length_b 4.5092
_cell_length_c 4.7505
_cell_angle_alpha 90.00
_cell_angle_beta 90.00
_cell_angle_gamma 90.00
loop_
_space_group_symop_operation_xyz
'x,y,z'
loop_
_atom_site_label
_atom_site_type_symbol
_atom_site_fract_x
_atom_site_fract_y
_atom_site_fract_z
Cr1 Cr 0.5000 0.5000 0.0000
Cr2 Cr 0.0000 0.0000 0.0000
La1 La 0.5000 0.0000 0.5000
Os1 Os 0.0000 0.5000 0.5000
```

Calculated values
- excess energy over the best structure of this formula in the dataset (meV per atom) = 210.3
- space-group type = Pmmm (47)
- DFT total energy (eV/atom) = -8.24

(6)
The following is a PBE calculation of an optimized crystal structure of La2CrOs, from Alexandria via LeMat-Bulk.

The structure in CIF format:
```
data_La2CrOs
_space_group_name_H-M_alt 'P 1'
_space_group_IT_number 1
_cell_length_a 5.7717
_cell_length_b 5.7717
_cell_length_c 5.7717
_cell_angle_alpha 135.82
_cell_angle_beta 135.82
_cell_angle_gamma 64.26
loop_
_space_group_symop_operation_xyz
'x,y,z'
loop_
_atom_site_label
_atom_site_type_symbol
_atom_site_fract_x
_atom_site_fract_y
_atom_site_fract_z
La1 La 0.2500 0.7500 0.5000
La2 La 0.0000 0.0000 0.0000
Cr1 Cr 0.7500 0.2500 0.5000
Os1 Os 0.5000 0.5000 0.0000
```

Calculated values
- excess energy over the best structure of this formula in the dataset (meV per atom) = 388.9
- space-group type = I-4m2 (119)
- DFT total energy (eV/atom) = -7.23

(7)
The following is a PBE calculation of an optimized crystal structure of LaCrOs2, from Alexandria via LeMat-Bulk.

The structure in CIF format:
```
data_LaCrOs2
_space_group_name_H-M_alt 'P 1'
_space_group_IT_number 1
_cell_length_a 3.7394
_cell_length_b 2.8183
_cell_length_c 7.2095
_cell_angle_alpha 74.48
_cell_angle_beta 90.00
_cell_angle_gamma 90.00
loop_
_space_group_symop_operation_xyz
'x,y,z'
loop_
_atom_site_label
_atom_site_type_symbol
_atom_site_fract_x
_atom_site_fract_y
_atom_site_fract_z
Cr1 Cr 0.0000 0.5994 0.4127
La1 La 0.5000 0.6833 0.7581
Os1 Os 0.0000 0.9167 0.0612
Os2 Os 0.5000 0.3007 0.2680
```

Calculated values
- excess energy over the best structure of this formula in the dataset (meV per atom) = 199.6
- space-group type = Pm (6)
- DFT total energy (eV/atom) = -8.80

(8)
The following is a PBE calculation of an optimized crystal structure of La2CrOs, from Alexandria via LeMat-Bulk.

The structure in CIF format:
```
data_La2CrOs
_space_group_name_H-M_alt 'P 1'
_space_group_IT_number 1
_cell_length_a 3.7152
_cell_length_b 5.0763
_cell_length_c 5.0763
_cell_angle_alpha 90.00
_cell_angle_beta 90.00
_cell_angle_gamma 90.00
loop_
_space_group_symop_operation_xyz
'x,y,z'
loop_
_atom_site_label
_atom_site_type_symbol
_atom_site_fract_x
_atom_site_fract_y
_atom_site_fract_z
Os1 Os 0.5000 0.5000 0.0000
La1 La 0.0000 0.0000 0.0000
Cr1 Cr 0.5000 0.0000 0.5000
La2 La 0.0000 0.5000 0.5000
```

Calculated values
- excess energy over the best structure of this formula in the dataset (meV per atom) = 273.7
- space-group type = P4/mmm (123)
- DFT total energy (eV/atom) = -7.35

(9)
The following is a PBE calculation of an optimized crystal structure of LaCr2Os, from Alexandria via LeMat-Bulk.

The structure in CIF format:
```
data_LaCr2Os
_space_group_name_H-M_alt 'P 1'
_space_group_IT_number 1
_cell_length_a 9.2638
_cell_length_b 9.2638
_cell_length_c 9.2638
_cell_angle_alpha 17.97
_cell_angle_beta 17.97
_cell_angle_gamma 17.97
loop_
_space_group_symop_operation_xyz
'x,y,z'
loop_
_atom_site_label
_atom_site_type_symbol
_atom_site_fract_x
_atom_site_fract_y
_atom_site_fract_z
Cr1 Cr 0.9950 0.9950 0.9950
La1 La 0.5026 0.5026 0.5026
Cr2 Cr 0.2691 0.2691 0.2691
Os1 Os 0.7332 0.7332 0.7332
```

Calculated values
- excess energy over the best structure of this formula in the dataset (meV per atom) = 306.9
- space-group type = R3m (160)
- DFT total energy (eV/atom) = -8.14

(10)
The following is a PBE calculation of an optimized crystal structure of LaCrOs2, from Alexandria via LeMat-Bulk.

The structure in CIF format:
```
data_LaCrOs2
_space_group_name_H-M_alt 'P 1'
_space_group_IT_number 1
_cell_length_a 4.6590
_cell_length_b 4.6590
_cell_length_c 4.6590
_cell_angle_alpha 60.00
_cell_angle_beta 60.00
_cell_angle_gamma 60.00
loop_
_space_group_symop_operation_xyz
'x,y,z'
loop_
_atom_site_label
_atom_site_type_symbol
_atom_site_fract_x
_atom_site_fract_y
_atom_site_fract_z
La1 La 0.5000 0.5000 0.5000
Os1 Os 0.7500 0.7500 0.7500
Os2 Os 0.2500 0.2500 0.2500
Cr1 Cr 0.0000 0.0000 0.0000
```

Calculated values
- excess energy over the best structure of this formula in the dataset (meV per atom) = 409.5
- space-group type = Fm-3m (225)
- DFT total energy (eV/atom) = -8.59

(11)
The following is a PBE calculation of an optimized crystal structure of LaCr2Os, from Alexandria via LeMat-Bulk.

The structure in CIF format:
```
data_LaCr2Os
_space_group_name_H-M_alt 'P 1'
_space_group_IT_number 1
_cell_length_a 4.5728
_cell_length_b 4.5728
_cell_length_c 8.9428
_cell_angle_alpha 75.19
_cell_angle_beta 75.19
_cell_angle_gamma 90.00
loop_
_space_group_symop_operation_xyz
'x,y,z'
loop_
_atom_site_label
_atom_site_type_symbol
_atom_site_fract_x
_atom_site_fract_y
_atom_site_fract_z
Os1 Os 0.0000 0.0000 0.0000
La1 La 0.2500 0.7500 0.5000
Os2 Os 0.7500 0.2500 0.5000
Cr1 Cr 0.3750 0.1249 0.7500
Cr2 Cr 0.8751 0.1250 0.2500
Cr3 Cr 0.8750 0.1251 0.7500
La2 La 0.5000 0.5000 0.0000
Cr4 Cr 0.8749 0.6250 0.2500
```

Calculated values
- excess energy over the best structure of this formula in the dataset (meV per atom) = 348.6
- space-group type = I4_1/amd (141)
- DFT total energy (eV/atom) = -8.10

(12)
The following is a PBE calculation of an optimized crystal structure of La2CrOs, from Alexandria via LeMat-Bulk.

The structure in CIF format:
```
data_La2CrOs
_space_group_name_H-M_alt 'P 1'
_space_group_IT_number 1
_cell_length_a 8.1490
_cell_length_b 8.1490
_cell_length_c 8.1490
_cell_angle_alpha 29.86
_cell_angle_beta 29.86
_cell_angle_gamma 29.86
loop_
_space_group_symop_operation_xyz
'x,y,z'
loop_
_atom_site_label
_atom_site_type_symbol
_atom_site_fract_x
_atom_site_fract_y
_atom_site_fract_z
La1 La 0.5180 0.5180 0.5180
Cr1 Cr 0.7500 0.7500 0.7500
Os1 Os 0.2500 0.2500 0.2500
La2 La 0.9820 0.9820 0.9820
```

Calculated values
- excess energy over the best structure of this formula in the dataset (meV per atom) = 432.3
- space-group type = R-3m (166)
- DFT total energy (eV/atom) = -7.19

(13)
The following is a PBE calculation of an optimized crystal structure of LaCr2Os, from Alexandria via LeMat-Bulk.

The structure in CIF format:
```
data_LaCr2Os
_space_group_name_H-M_alt 'P 1'
_space_group_IT_number 1
_cell_length_a 4.6729
_cell_length_b 4.6729
_cell_length_c 3.0148
_cell_angle_alpha 90.00
_cell_angle_beta 90.00
_cell_angle_gamma 90.00
loop_
_space_group_symop_operation_xyz
'x,y,z'
loop_
_atom_site_label
_atom_site_type_symbol
_atom_site_fract_x
_atom_site_fract_y
_atom_site_fract_z
La1 La 0.5000 0.0000 0.5000
Cr1 Cr 0.5000 0.5000 0.0000
Os1 Os 0.0000 0.5000 0.5000
Cr2 Cr 0.0000 0.0000 0.0000
```

Calculated values
- excess energy over the best structure of this formula in the dataset (meV per atom) = 328.4
- space-group type = P4/mmm (123)
- DFT total energy (eV/atom) = -8.12

(14)
The following is a PBE calculation of an optimized crystal structure of LaCrOs2, from Alexandria via LeMat-Bulk.

The structure in CIF format:
```
data_LaCrOs2
_space_group_name_H-M_alt 'P 1'
_space_group_IT_number 1
_cell_length_a 4.4925
_cell_length_b 4.4925
_cell_length_c 6.3073
_cell_angle_alpha 74.84
_cell_angle_beta 74.84
_cell_angle_gamma 39.70
loop_
_space_group_symop_operation_xyz
'x,y,z'
loop_
_atom_site_label
_atom_site_type_symbol
_atom_site_fract_x
_atom_site_fract_y
_atom_site_fract_z
Os1 Os 0.4729 0.4729 0.5976
Cr1 Cr 0.7500 0.7500 0.7500
Os2 Os 0.0271 0.0271 0.9024
La1 La 0.2500 0.2500 0.2500
```

Calculated values
- excess energy over the best structure of this formula in the dataset (meV per atom) = 190.1
- space-group type = C2/m (12)
- DFT total energy (eV/atom) = -8.81

(15)
The following is a PBE calculation of an optimized crystal structure of LaCrOs, from Alexandria via LeMat-Bulk.

The structure in CIF format:
```
data_LaCrOs
_space_group_name_H-M_alt 'P 1'
_space_group_IT_number 1
_cell_length_a 4.6136
_cell_length_b 4.6136
_cell_length_c 4.6136
_cell_angle_alpha 60.00
_cell_angle_beta 60.00
_cell_angle_gamma 60.00
loop_
_space_group_symop_operation_xyz
'x,y,z'
loop_
_atom_site_label
_atom_site_type_symbol
_atom_site_fract_x
_atom_site_fract_y
_atom_site_fract_z
Os1 Os 0.0000 0.0000 0.0000
La1 La 0.7500 0.7500 0.7500
Cr1 Cr 0.5000 0.5000 0.5000
```

Calculated values
- excess energy over the best structure of this formula in the dataset (meV per atom) = 1284.6
- space-group type = F-43m (216)
- DFT total energy (eV/atom) = -7.24